1.
Density functional theory data (PBE) for crystalline KSrCl2 at its relaxed geometry.

**E**: -49.47 eV/cell
**DOS(E_F)**: 13.2 states/eV/cell
**Offset from the most stable computed form**: 31.3 kJ/mol of atoms
**Total magnetic moment**: 0.002 μB/atom

Geometry as extended XYZ:
```
16
Lattice="7.864 0.000 0.000 0.000 7.864 0.000 0.000 0.000 7.864" Properties=species:S:1:pos:R:3 pbc="T T T"
K 0.000 0.000 0.000
K 0.000 3.932 3.932
K 3.932 0.000 3.932
K 3.932 3.932 0.000
Sr 0.000 0.000 3.932
Sr 0.000 3.932 0.000
Sr 3.932 0.000 0.000
Sr 3.932 3.932 3.932
Cl 1.966 1.966 1.966
Cl 1.966 1.966 5.898
Cl 1.966 5.898 1.966
Cl 1.966 5.898 5.898
Cl 5.898 1.966 1.966
Cl 5.898 1.966 5.898
Cl 5.898 5.898 1.966
Cl 5.898 5.898 5.898
```



2.
Density functional theory data (PBE) for crystalline KSrCl2 at its relaxed geometry.

**E**: -40.42 eV/cell
**DOS(E_F)**: 2.3 states/eV/cell
**Offset from the most stable computed form**: 4.6 kJ/mol of atoms
**Total magnetic moment**: 0.216 μB/atom

Geometry as extended XYZ:
```
12
Lattice="4.236 0.000 0.000 -2.118 3.668 0.000 0.000 0.000 24.319" Properties=species:S:1:pos:R:3 pbc="T T T"
K 0.000 0.000 0.000
K 0.000 2.445 16.213
K 2.118 1.223 8.106
Sr 0.000 0.000 20.188
Sr 0.000 2.445 12.082
Sr 2.118 1.223 3.975
Cl 0.000 0.000 10.047
Cl 0.000 0.000 14.149
Cl 0.000 2.445 1.941
Cl 0.000 2.445 6.043
Cl 2.118 1.223 18.154
Cl 2.118 1.223 22.256
```



3.
Density functional theory data (PBE) for crystalline K2SrCl at its relaxed geometry.

**E**: -28.84 eV/cell
**DOS(E_F)**: 9.6 states/eV/cell
**Offset from the most stable computed form**: 50.0 kJ/mol of atoms
**Total magnetic moment**: 0.000 μB/atom

Geometry as extended XYZ:
```
16
Lattice="9.432 0.000 0.000 0.000 9.432 0.000 0.000 0.000 9.432" Properties=species:S:1:pos:R:3 pbc="T T T"
K 0.000 0.000 0.000
K 0.000 4.716 4.716
K 2.358 2.358 2.358
K 2.358 7.074 7.074
K 4.716 0.000 4.716
K 4.716 4.716 0.000
K 7.074 2.358 7.074
K 7.074 7.074 2.358
Sr 0.000 0.000 4.716
Sr 0.000 4.716 0.000
Sr 4.716 0.000 0.000
Sr 4.716 4.716 4.716
Cl 2.358 2.358 7.074
Cl 2.358 7.074 2.358
Cl 7.074 2.358 2.358
Cl 7.074 7.074 7.074
```